Pa3Be5O12 | PBE | optimized geometry

Calculated values
mass density: 7.69 g/cm3
crystal system: cubic
E_form (uncorrected): -2952 meV per atom

```
80
Lattice="10.144 0.000 0.000 -3.381 9.564 0.000 -3.381 -4.782 8.283" Properties=species:S:1:pos:R:3 pbc="T T T"
Be 4.227 -2.989 7.247
Be 5.072 0.000 0.000
O 5.162 2.782 3.152
O -1.232 -0.531 3.985
Pa -4.227 4.782 6.212
O 0.789 0.845 4.841
O 4.170 7.340 2.453
Pa -0.845 4.184 5.177
O -0.789 -2.558 5.830
Be -0.845 2.391 2.071
O -0.534 3.493 0.833
O 1.157 1.366 7.583
O -4.283 2.558 5.830
O -0.902 5.627 3.442
Be 0.845 2.989 7.247
Be 2.536 1.793 1.035
O 5.162 8.512 0.156
Pa -2.536 1.793 7.247
O 0.458 6.108 5.674
Be 3.381 -2.391 4.141
O 4.538 4.705 1.532
O 1.157 -1.289 7.450
O -3.915 -0.077 6.750
O -2.923 4.251 4.298
Pa 5.917 2.989 1.035
O -1.157 0.077 6.750
O 4.614 5.313 4.298
Be -3.381 2.391 4.141
O 3.915 -1.366 7.583
Be 1.691 2.391 4.141
O 1.781 -1.730 4.974
Be 3.381 4.782 0.000
Be 0.845 -2.391 6.212
O 3.915 1.289 7.450
O 6.673 1.052 0.156
Be 5.917 -0.598 5.177
Pa 4.227 0.598 3.106
O 6.853 -2.000 5.130
O 7.296 4.859 1.532
O 0.090 3.052 3.308
Pa 7.608 0.000 2.071
O 7.665 2.224 2.453
Be -1.691 4.782 0.000
O 2.224 6.071 0.833
Pa 0.845 -0.598 3.106
O 2.224 3.416 0.700
O -1.781 2.000 5.130
Be 0.000 0.000 0.000
O -0.534 6.148 0.700
O -1.781 -3.730 8.126
O 4.170 1.379 0.989
O 4.283 -0.845 4.841
O 2.923 -1.326 2.609
O -2.149 5.577 6.594
Be -0.845 7.771 1.035
O 1.601 6.512 3.308
Pa 2.536 5.380 5.177
O 3.840 3.987 6.594
O 5.530 -0.795 1.689
Pa 0.845 4.782 2.071
Be -0.845 0.598 5.177
Pa 5.917 6.575 1.035
Be 4.227 2.391 6.212
O -0.458 0.795 1.689
Pa 2.536 0.000 6.212
O 5.861 -3.403 7.293
O 1.232 3.456 5.674
O 3.291 1.730 4.974
O -0.789 3.403 7.293
O 2.593 3.937 3.442
Pa -2.536 -1.793 7.247
Be 2.536 7.173 2.071
Be -1.691 -2.391 4.141
O -3.291 3.730 8.126
O -2.480 8.185 0.989
Be -2.536 5.380 3.106
O 6.304 0.531 3.985
O -3.471 6.782 3.152
O 2.149 1.326 2.609
Be 4.227 4.184 3.106
```

=====

Pa2BePbO8 | PBE | optimized geometry

Calculated values
mass density: 8.43 g/cm3
crystal system: monoclinic
E_form (uncorrected): -2587 meV per atom

```
12
Lattice="-1.646 -2.400 -2.263 2.849 1.565 -3.733 5.378 -6.328 2.800" Properties=species:S:1:pos:R:3 pbc="T T T"
Pa 1.538 -1.798 -2.215
O 1.862 -3.426 -0.724
O 1.356 -0.628 -0.321
O 4.629 -3.769 0.630
Pa 5.042 -5.365 -0.980
Be 0.000 0.000 0.000
O 5.225 -6.535 -2.875
O 1.641 -0.415 -3.756
Pb 2.689 -3.164 1.400
O 1.951 -3.394 -3.825
O 4.718 -3.737 -2.471
O 4.940 -6.748 0.560
```

=====

PaBe2PdO8 | PBE | optimized geometry

Calculated values
mass density: 5.42 g/cm3
crystal system: trigonal
E_form (uncorrected): -1530 meV per atom

```
12
Lattice="-1.550 3.579 -3.609 -3.325 -1.480 3.871 2.111 4.463 3.520" Properties=species:S:1:pos:R:3 pbc="T T T"
Be -1.580 3.079 -0.179
O -2.202 4.637 3.528
O -1.360 3.769 -1.606
Be -1.184 3.482 3.961
Pa 1.055 2.231 1.760
O -1.404 2.793 5.389
Pd 0.000 0.000 0.000
O -0.561 1.924 0.254
O 0.310 3.556 3.393
O -3.074 3.005 0.389
O -1.009 4.286 0.772
O -1.754 2.275 3.010
```